{
  "formula": "HgB2O",
  "functional": "meta-GGA SCAN",
  "state": "single point on PBEsol structure",
  "space_group": "Fm-3m",
  "raw_formation_energy_mev_per_atom": 1923,
  "dos_at_fermi_per_ev_atom": 0.347,
  "total_magnetization_mub_per_cell": 0.0,
  "lattice": [[-3.574, -1.730, 0.670], [-0.493, -2.444, 3.162], [-2.253, 1.178, 3.124]],
  "species": ["B", "B", "Hg", "O"],
  "fractional_positions": [[0.250, 0.250, 0.250], [0.750, 0.750, 0.750], [0.500, 0.500, 0.500], [0.000, 0.000, 0.000]]
}

=====

{
  "formula": "Hg3BOs",
  "functional": "meta-GGA SCAN",
  "state": "single point on PBEsol structure",
  "space_group": "Pm-3m",
  "dos_at_fermi_per_ev_atom": 0.351,
  "total_magnetization_mub_per_cell": 0.7,
  "formation_enthalpy_0k_mev_per_atom": 1725,
  "lattice": [[5.142, 0.000, 0.000], [0.000, 5.142, 0.000], [0.000, 0.000, 5.142]],
  "species": ["B", "Os", "Hg", "Hg", "Hg"],
  "fractional_positions": [[0.500, 0.500, 0.500], [0.000, 0.000, 0.000], [0.000, 0.500, 0.000], [0.000, 0.000, 0.500], [0.500, 0.000, 0.000]]
}